# 1
# GGA-PBE NaIr2ClO, optimized geometry
data_NaIr2ClO
_symmetry_space_group_name_H-M 'P 4/m m m'
_symmetry_Int_Tables_number 123
_symmetry_space_group_name_Hall '-P 4 2'
_cell_length_a 4.351
_cell_length_b 4.351
_cell_length_c 5.493
_cell_angle_alpha 90.00
_cell_angle_beta 90.00
_cell_angle_gamma 90.00
loop_
_atom_site_label
_atom_site_fract_x
_atom_site_fract_y
_atom_site_fract_z
Na1 0.000 0.000 0.000
Ir1 0.000 0.500 0.500
Cl1 0.000 0.000 0.500
O1 0.500 0.500 0.000
# Volume ... 104.00 Å³/cell
# Crystal system ... tetragonal
# Calculated density ... 7.33 g/cm3
# Fermi-level density of states ... 1.037 states/eV/atom
# Raw formation energy ... 6.2 eV per formula unit

# 2
# GGA-PBE ErLuRu, optimized geometry
data_ErLuRu
_symmetry_space_group_name_H-M 'F -4 3 m'
_symmetry_Int_Tables_number 216
_symmetry_space_group_name_Hall 'F -4 2 3'
_cell_length_a 6.660
_cell_length_b 6.660
_cell_length_c 6.660
_cell_angle_alpha 90.00
_cell_angle_beta 90.00
_cell_angle_gamma 90.00
loop_
_atom_site_label
_atom_site_fract_x
_atom_site_fract_y
_atom_site_fract_z
Er1 0.000 0.000 0.000
Lu1 0.000 0.000 0.500
Ru1 0.250 0.250 0.250
# Volume ... 295.47 Å³/cell
# Crystal system ... cubic
# Formation energy ... -0.348 eV/atom
# Energy relative to the lowest polymorph listed for this composition ... 69 meV/atom
# Calculated density ... 9.97 g/cm3
# Fermi-level density of states ... 0.163 states/eV/atom

# 3
# GGA-PBE Sr2Tl6Rh, optimized geometry
data_Sr2Tl6Rh
_symmetry_space_group_name_H-M 'R -3 m'
_symmetry_Int_Tables_number 166
_symmetry_space_group_name_Hall '-R 3 2"'
_cell_length_a 6.8806
_cell_length_b 6.8806
_cell_length_c 19.0100
_cell_angle_alpha 90.00
_cell_angle_beta 90.00
_cell_angle_gamma 120.00
loop_
_atom_site_label
_atom_site_fract_x
_atom_site_fract_y
_atom_site_fract_z
Sr1 0.0000 0.0000 0.2260
Tl1 0.0061 0.5031 0.7326
Rh1 0.0000 0.0000 0.5000
# Volume ... 779.51 Å³/cell
# Crystal system ... trigonal
# Formation energy ... -0.197 eV/atom
# Energy relative to the lowest polymorph listed for this composition ... 22 meV/atom
# Calculated density ... 9.61 g/cm3
# Fermi-level density of states ... 0.486 states/eV/atom

# 4
# GGA-PBE SbPbSe2, optimized geometry
data_SbPbSe2
_symmetry_space_group_name_H-M 'P m m m'
_symmetry_Int_Tables_number 47
_symmetry_space_group_name_Hall '-P 2 2'
_cell_length_a 3.788
_cell_length_b 3.911
_cell_length_c 7.612
_cell_angle_alpha 90.00
_cell_angle_beta 90.00
_cell_angle_gamma 90.00
loop_
_atom_site_label
_atom_site_fract_x
_atom_site_fract_y
_atom_site_fract_z
Sb1 0.000 0.000 0.000
Pb1 0.500 0.000 0.500
Se1 0.000 0.500 0.271
# Volume ... 112.77 Å³/cell
# Crystal system ... orthorhombic
# Calculated density ... 7.17 g/cm3
# Fermi-level density of states ... 0.191 states/eV/atom
# Raw formation energy ... -0.9 eV per formula unit

# 5
# GGA-PBE LaPu2Th3As6, optimized geometry
data_LaPu2Th3As6
_symmetry_space_group_name_H-M 'C 1 2/m 1'
_symmetry_Int_Tables_number 12
_symmetry_space_group_name_Hall '-C 2y'
_cell_length_a 7.363
_cell_length_b 12.759
_cell_length_c 7.339
_cell_angle_alpha 90.00
_cell_angle_beta 109.56
_cell_angle_gamma 90.00
loop_
_atom_site_label
_atom_site_fract_x
_atom_site_fract_y
_atom_site_fract_z
La1 0.000 0.000 0.000
Pu1 0.000 0.333 0.000
Th1 0.000 0.165 0.500
Th2 0.000 0.500 0.500
As1 0.242 0.500 0.248
As2 0.247 0.330 0.750
# Volume ... 649.64 Å³/cell
# Crystal system ... monoclinic
# Formation energy ... -1.326 eV/atom
# Calculated density ... 9.06 g/cm3
# Fermi-level density of states ... 2.097 states/eV/atom

# 6
# GGA-PBE PrIn2Sb2Pd7, optimized geometry
data_PrIn2Sb2Pd7
_symmetry_space_group_name_H-M 'C 1 2/m 1'
_symmetry_Int_Tables_number 12
_symmetry_space_group_name_Hall '-C 2y'
_cell_length_a 5.729
_cell_length_b 5.757
_cell_length_c 15.684
_cell_angle_alpha 90.00
_cell_angle_beta 95.69
_cell_angle_gamma 90.00
loop_
_atom_site_label
_atom_site_fract_x
_atom_site_fract_y
_atom_site_fract_z
Pr1 0.000 0.000 0.000
In1 0.124 0.000 0.415
Sb1 0.073 0.500 0.252
Pd1 0.000 0.500 0.000
Pd2 0.117 0.500 0.421
Pd3 0.208 0.251 0.856
# Volume ... 514.72 Å³/cell
# Crystal system ... monoclinic
# Calculated density ... 8.77 g/cm3
# Fermi-level density of states ... 0.446 states/eV/atom
# Raw formation energy ... -5.3 eV per formula unit

# 7
# GGA-PBE Cu2SbPb2O6, optimized geometry
data_Cu2SbPb2O6
_symmetry_space_group_name_H-M 'R -3 m'
_symmetry_Int_Tables_number 166
_symmetry_space_group_name_Hall '-R 3 2"'
_cell_length_a 5.9901
_cell_length_b 5.9901
_cell_length_c 15.4581
_cell_angle_alpha 90.00
_cell_angle_beta 90.00
_cell_angle_gamma 120.00
loop_
_atom_site_label
_atom_site_fract_x
_atom_site_fract_y
_atom_site_fract_z
Cu1 0.0000 0.0000 0.0901
Sb1 0.0000 0.0000 0.5000
Pb1 0.0000 0.0000 0.2913
O1 0.0355 0.5177 0.2513
# Volume ... 480.35 Å³/cell
# Crystal system ... trigonal
# Calculated density ... 7.87 g/cm3
# Fermi-level density of states ... 0.643 states/eV/atom
# Raw formation energy ... -10.4 eV per formula unit

Among the records above, which one has the lowest volume? NaIr2ClO

What did the fourth record say?
# GGA-PBE SbPbSe2, optimized geometry
data_SbPbSe2
_symmetry_space_group_name_H-M 'P m m m'
_symmetry_Int_Tables_number 47
_symmetry_space_group_name_Hall '-P 2 2'
_cell_length_a 3.788
_cell_length_b 3.911
_cell_length_c 7.612
_cell_angle_alpha 90.00
_cell_angle_beta 90.00
_cell_angle_gamma 90.00
loop_
_atom_site_label
_atom_site_fract_x
_atom_site_fract_y
_atom_site_fract_z
Sb1 0.000 0.000 0.000
Pb1 0.500 0.000 0.500
Se1 0.000 0.500 0.271
# Volume ... 112.77 Å³/cell
# Crystal system ... orthorhombic
# Calculated density ... 7.17 g/cm3
# Fermi-level density of states ... 0.191 states/eV/atom
# Raw formation energy ... -0.9 eV per formula unit